FeGeP3 | PBE-GGA | optimized geometry

Energy above the most stable polymorph in this dataset = 0 meV per atom
Formation energy = 55 kJ per mole of atoms

Unit cell a=4.3653 b=4.3653 c=4.3653 alpha=90.00 beta=90.00 gamma=90.00
With the nearest neighbours (Å) after each atom.
Positions (direct):
P  0.0000  0.5000  0.0000  2 Fe 2.18
P  0.5000  0.0000  0.0000  2 Fe 2.18
P  0.0000  0.0000  0.5000  2 Fe 2.18
Ge  0.5000  0.5000  0.5000  12 P 3.09
Fe  0.0000  0.0000  0.0000  6 P 2.18



FeGe2P | PBE-GGA | optimized geometry

Formation energy = 39 kJ per mole of atoms

Unit cell a=5.5480 b=5.5480 c=6.5142 alpha=64.80 beta=64.80 gamma=90.00
With the nearest neighbours (Å) after each atom.
Positions (direct):
Ge  0.1088  0.6250  0.2500  2 Fe 2.30, 2 P 2.41
Ge  0.6412  0.1250  0.2500  2 Fe 2.30, 2 P 2.41
Ge  0.3750  0.3588  0.7500  2 Fe 2.30, 2 P 2.41
Ge  0.8750  0.8912  0.7500  2 Fe 2.30, 2 P 2.41
P  0.2500  0.7500  0.5000  4 Ge 2.41
P  0.5000  0.5000  0.0000  4 Ge 2.41
Fe  0.0000  0.0000  0.0000  4 Ge 2.30
Fe  0.7500  0.2500  0.5000  4 Ge 2.30



FeGeP | PBE-GGA | optimized geometry

Formation energy = -20 kJ per mole of atoms

Unit cell a=5.7822 b=6.0826 c=6.0711 alpha=127.40 beta=90.00 gamma=90.00
With the nearest neighbours (Å) after each atom.
Positions (direct):
Fe  0.5268  0.2317  0.7439  3 P 2.22-2.26, 3 Ge 2.43-2.46
Fe  0.9732  0.2317  0.2439  3 P 2.22-2.26, 3 Ge 2.43-2.46
Fe  0.0268  0.7683  0.7561  3 P 2.22-2.26, 3 Ge 2.43-2.46
Fe  0.4732  0.7683  0.2561  3 P 2.22-2.26, 3 Ge 2.43-2.46
Ge  0.1371  0.3363  0.6686  3 Fe 2.43-2.46, 2 P 2.47-2.67
Ge  0.8629  0.6637  0.3314  3 Fe 2.43-2.46, 2 P 2.47-2.67
Ge  0.3629  0.3363  0.1686  3 Fe 2.43-2.46, 2 P 2.47-2.67
Ge  0.6371  0.6637  0.8314  3 Fe 2.43-2.46, 2 P 2.47-2.67
P  0.1215  0.8447  0.1512  3 Fe 2.22-2.26, 1 Ge 2.47
P  0.3785  0.8447  0.6512  3 Fe 2.22-2.26, 1 Ge 2.47
P  0.8785  0.1553  0.8488  3 Fe 2.22-2.26, 1 Ge 2.47
P  0.6215  0.1553  0.3488  3 Fe 2.22-2.26, 1 Ge 2.47



Fe3GeP | PBE-GGA | optimized geometry

Energy above the most stable polymorph in this dataset = 775 meV per atom
Formation energy = 101 kJ per mole of atoms

Unit cell a=4.3668 b=4.3668 c=4.3668 alpha=90.00 beta=90.00 gamma=90.00
With the nearest neighbours (Å) after each atom.
Positions (direct):
Fe  0.0000  0.5000  0.0000  2 Ge 2.18
Fe  0.0000  0.0000  0.5000  2 Ge 2.18
Fe  0.5000  0.0000  0.0000  2 Ge 2.18
P  0.5000  0.5000  0.5000  12 Fe 3.09
Ge  0.0000  0.0000  0.0000  6 Fe 2.18



Fe2GeP | PBE-GGA | optimized geometry

Energy above the most stable polymorph in this dataset = 389 meV per atom
Formation energy = 35 kJ per mole of atoms

Unit cell a=5.3447 b=5.3447 c=5.9596 alpha=63.36 beta=63.36 gamma=90.00
With the nearest neighbours (Å) after each atom.
Positions (direct):
Fe  0.1536  0.6250  0.2500  2 P 2.12, 2 Ge 2.31
Fe  0.5964  0.1250  0.2500  2 P 2.12, 2 Ge 2.31
Fe  0.3750  0.4036  0.7500  2 P 2.12, 2 Ge 2.31
Fe  0.8750  0.8464  0.7500  2 P 2.12, 2 Ge 2.31
P  0.2500  0.7500  0.5000  4 Fe 2.12
P  0.5000  0.5000  0.0000  4 Fe 2.12
Ge  0.7500  0.2500  0.5000  4 Fe 2.31
Ge  0.0000  0.0000  0.0000  4 Fe 2.31



FeGeP2 | PBE-GGA | optimized geometry

Formation energy = 52 kJ per mole of atoms

Unit cell a=3.4154 b=3.4154 c=7.6174 alpha=77.05 beta=77.05 gamma=60.00
With the nearest neighbours (Å) after each atom.
Positions (direct):
Ge  0.5000  0.5000  0.5000  6 P 2.47
Fe  0.0000  0.0000  0.0000  2 P 2.19
P  0.0992  0.0992  0.7025  1 Fe 2.19
P  0.9008  0.9008  0.2975  1 Fe 2.19